A plane-wave DFT calculation with PBE was carried out for an optimized crystal structure of MnSbCl2.

crystal system	orthorhombic
symmetry	Immm, No. 71
N(E_F)	0.70	states/eV/atom
excess energy over the best structure of this formula in the dataset	211	meV per atom
total moment	4.2	Bohr magnetons per cell
V	108	Å³/cell

Cell lengths 6.7541, 6.7541, 6.7541 Å; angles 152.53, 129.99, 58.00 degrees
Closest atoms and distances in Å follow each position.
Sites, in units of the cell vectors:
Sb (0.2500, 0.7500, 0.5000)  2 Sb 3.21, 4 Mn 3.27, 4 Cl 3.39
Mn (0.7500, 0.2500, 0.5000)  4 Cl 2.44
Cl (0.9052, 0.9052, 0.0000)  2 Mn 2.44
Cl (0.5948, 0.5948, 0.0000)  2 Mn 2.44

---

A plane-wave DFT calculation with PBE was carried out for an optimized crystal structure of MnSbCl2.

crystal system	monoclinic
symmetry	Cm, No. 8
N(E_F)	0.28	states/eV/atom
excess energy over the best structure of this formula in the dataset	60	meV per atom
total moment	4.0	Bohr magnetons per cell
V	105	Å³/cell

Cell lengths 6.0938, 6.0938, 5.6126 Å; angles 77.53, 77.53, 30.97 degrees
Closest atoms and distances in Å follow each position.
Sites, in units of the cell vectors:
Sb (0.1527, 0.1527, 0.2978)  1 Cl 2.67, 2 Mn 2.84
Mn (0.4892, 0.4892, 0.6225)  4 Cl 2.44-2.60
Cl (0.0230, 0.0230, 0.9623)  2 Mn 2.60, 1 Sb 2.67
Cl (0.8351, 0.8351, 0.6174)  2 Mn 2.44

---

A plane-wave DFT calculation with PBE was carried out for an optimized crystal structure of MnSbCl2.

crystal system	tetragonal
symmetry	I-42d, No. 122
N(E_F)	1.19	states/eV/atom
excess energy over the best structure of this formula in the dataset	885	meV per atom
total moment	0.0	Bohr magnetons per cell
V	204	Å³/cell

Cell lengths 6.6046, 6.6046, 6.6026 Å; angles 59.99, 59.99, 90.00 degrees
Closest atoms and distances in Å follow each position.
Sites, in units of the cell vectors:
Sb (0.0000, 0.0000, 0.0000)  4 Cl 3.31
Sb (0.7500, 0.2500, 0.5000)  4 Cl 3.31
Mn (0.5000, 0.5000, 0.0000)  4 Cl 2.13
Mn (0.2500, 0.7500, 0.5000)  4 Cl 2.13
Cl (0.4780, 0.1250, 0.2500)  2 Mn 2.13
Cl (0.2720, 0.6250, 0.2500)  2 Mn 2.13
Cl (0.3750, 0.5220, 0.7500)  2 Mn 2.13
Cl (0.8750, 0.7280, 0.7500)  2 Mn 2.13

---

A plane-wave DFT calculation with PBE was carried out for an optimized crystal structure of Mn2SbCl.

crystal system	monoclinic
symmetry	Cm, No. 8
N(E_F)	0.83	states/eV/atom
excess energy over the best structure of this formula in the dataset	132	meV per atom
total moment	6.9	Bohr magnetons per cell
V	91	Å³/cell

Cell lengths 4.4298, 4.4298, 7.0387 Å; angles 84.54, 84.54, 41.66 degrees
Closest atoms and distances in Å follow each position.
Sites, in units of the cell vectors:
Cl (0.7304, 0.7304, 0.8841)  3 Mn 2.44-2.67
Mn (0.9871, 0.9871, 0.0275)  3 Cl 2.44-2.67, 3 Mn 2.68-2.71
Mn (0.2596, 0.2596, 0.2098)  3 Sb 2.59-2.69, 3 Mn 2.68-2.71, 2 Cl 2.81
Sb (0.5230, 0.5230, 0.3786)  3 Mn 2.59-2.69

---

A plane-wave DFT calculation with PBE was carried out for an optimized crystal structure of MnSb3Cl.

crystal system	cubic
symmetry	Pm-3m, No. 221
N(E_F)	1.32	states/eV/atom
excess energy over the best structure of this formula in the dataset	0	meV per atom
total moment	2.3	Bohr magnetons per cell
V	127	Å³/cell

Cell lengths 5.0234, 5.0234, 5.0234 Å; angles 90.00, 90.00, 90.00 degrees
Closest atoms and distances in Å follow each position.
Sites, in units of the cell vectors:
Sb (0.0000, 0.5000, 0.0000)  2 Mn 2.51
Sb (0.0000, 0.0000, 0.5000)  2 Mn 2.51
Sb (0.5000, 0.0000, 0.0000)  2 Mn 2.51
Mn (0.0000, 0.0000, 0.0000)  6 Sb 2.51
Cl (0.5000, 0.5000, 0.5000)  12 Sb 3.55

---

A plane-wave DFT calculation with PBE was carried out for an optimized crystal structure of Mn2Sb2Cl.

crystal system	tetragonal
symmetry	I4/mmm, No. 139
N(E_F)	0.74	states/eV/atom
excess energy over the best structure of this formula in the dataset	0	meV per atom
total moment	0.0	Bohr magnetons per cell
V	99	Å³/cell

Cell lengths 3.3771, 3.3771, 8.9613 Å; angles 79.14, 79.14, 90.00 degrees
Closest atoms and distances in Å follow each position.
Sites, in units of the cell vectors:
Sb (0.3713, 0.3713, 0.2573)  4 Mn 2.69
Sb (0.6287, 0.6287, 0.7427)  4 Mn 2.69
Mn (0.7500, 0.2500, 0.5000)  4 Mn 2.39
Mn (0.2500, 0.7500, 0.5000)  4 Mn 2.39
Cl (0.0000, 0.0000, 0.0000)  8 Sb 3.26, 4 Cl 3.38

---

A plane-wave DFT calculation with PBE was carried out for an optimized crystal structure of Mn2SbCl.

crystal system	tetragonal
symmetry	I-4m2, No. 119
N(E_F)	1.16	states/eV/atom
excess energy over the best structure of this formula in the dataset	354	meV per atom
total moment	8.5	Bohr magnetons per cell
V	89	Å³/cell

Cell lengths 6.8696, 6.8696, 6.8696 Å; angles 148.25, 148.25, 45.51 degrees
Closest atoms and distances in Å follow each position.
Sites, in units of the cell vectors:
Cl (0.7500, 0.2500, 0.5000)  4 Mn 2.66
Mn (0.0000, 0.0000, 0.0000)  4 Sb 2.66
Mn (0.2500, 0.7500, 0.5000)  4 Cl 2.66
Sb (0.5000, 0.5000, 0.0000)  4 Mn 2.66

---

A plane-wave DFT calculation with PBE was carried out for an optimized crystal structure of MnSbCl2.

crystal system	monoclinic
symmetry	P2/m, No. 10
N(E_F)	0.27	states/eV/atom
excess energy over the best structure of this formula in the dataset	355	meV per atom
total moment	4.4	Bohr magnetons per cell
V	92	Å³/cell

Cell lengths 4.4728, 4.5368, 4.5183 Å; angles 87.33, 90.00, 90.00 degrees
Closest atoms and distances in Å follow each position.
Sites, in units of the cell vectors:
Sb (0.5000, 0.7500, 0.7500)  4 Cl 2.84, 2 Mn 3.13
Mn (0.5000, 0.2500, 0.2500)  4 Cl 2.71
Cl (0.0000, 0.0173, 0.0176)  2 Mn 2.71, 2 Sb 2.84
Cl (0.0000, 0.4827, 0.4824)  2 Mn 2.71, 2 Sb 2.84

---

A plane-wave DFT calculation with PBE was carried out for an optimized crystal structure of MnSbCl6.

crystal system	monoclinic
symmetry	C2/m, No. 12
N(E_F)	0.55	states/eV/atom
excess energy over the best structure of this formula in the dataset	0	meV per atom
total moment	4.0	Bohr magnetons per cell
V	275	Å³/cell

Cell lengths 6.6347, 6.9022, 6.9022 Å; angles 60.67, 91.90, 88.10 degrees
Closest atoms and distances in Å follow each position.
Sites, in units of the cell vectors:
Mn (0.0000, 0.0208, 0.0208)  6 Cl 2.30-2.47
Sb (0.5000, 0.0207, 0.0207)  6 Cl 2.66-2.72
Cl (0.8157, 0.7520, 0.2895)  1 Mn 2.30
Cl (0.1843, 0.2895, 0.7520)  1 Mn 2.30
Cl (0.2370, 0.0223, 0.3030)  1 Mn 2.47, 1 Sb 2.66
Cl (0.2370, 0.7386, 0.0191)  1 Mn 2.47, 1 Sb 2.66
Cl (0.7630, 0.0191, 0.7386)  1 Mn 2.47, 1 Sb 2.66
Cl (0.7630, 0.3030, 0.0223)  1 Mn 2.47, 1 Sb 2.66

---

A plane-wave DFT calculation with PBE was carried out for an optimized crystal structure of MnSbCl2.

crystal system	orthorhombic
symmetry	Pmmm, No. 47
N(E_F)	0.40	states/eV/atom
excess energy over the best structure of this formula in the dataset	408	meV per atom
total moment	4.6	Bohr magnetons per cell
V	88	Å³/cell

Cell lengths 3.2710, 5.7992, 4.6245 Å; angles 90.00, 90.00, 90.00 degrees
Closest atoms and distances in Å follow each position.
Sites, in units of the cell vectors:
Sb (0.0000, 0.5000, 0.5000)  4 Cl 2.83
Mn (0.5000, 0.0000, 0.5000)  4 Cl 2.83
Cl (0.0000, 0.0000, 0.0000)  4 Mn 2.83
Cl (0.5000, 0.5000, 0.0000)  4 Sb 2.83

---

A plane-wave DFT calculation with PBE was carried out for an optimized crystal structure of Mn2SbCl.

crystal system	tetragonal
symmetry	I-42d, No. 122
N(E_F)	1.07	states/eV/atom
excess energy over the best structure of this formula in the dataset	748	meV per atom
total moment	0.0	Bohr magnetons per cell
V	152	Å³/cell

Cell lengths 5.5772, 5.5772, 6.2909 Å; angles 63.69, 63.69, 90.00 degrees
Closest atoms and distances in Å follow each position.
Sites, in units of the cell vectors:
Sb (0.0000, 0.0000, 0.0000)  4 Mn 2.53
Sb (0.7500, 0.2500, 0.5000)  4 Mn 2.53
Mn (0.5679, 0.1250, 0.2500)  2 Cl 2.15
Mn (0.1821, 0.6250, 0.2500)  2 Cl 2.15
Mn (0.3750, 0.4321, 0.7500)  2 Cl 2.15
Mn (0.8750, 0.8179, 0.7500)  2 Cl 2.15
Cl (0.5000, 0.5000, 0.0000)  4 Mn 2.15
Cl (0.2500, 0.7500, 0.5000)  4 Mn 2.15

---

A plane-wave DFT calculation with PBE was carried out for an optimized crystal structure of Mn2SbCl.

crystal system	trigonal
symmetry	R-3m, No. 166
N(E_F)	0.45	states/eV/atom
excess energy over the best structure of this formula in the dataset	98	meV per atom
total moment	8.4	Bohr magnetons per cell
V	85	Å³/cell

Cell lengths 7.3133, 7.3133, 7.3133 Å; angles 29.76, 29.76, 29.76 degrees
Closest atoms and distances in Å follow each position.
Sites, in units of the cell vectors:
Cl (0.7500, 0.7500, 0.7500)  6 Mn 2.83
Mn (0.9966, 0.9966, 0.9966)  3 Sb 2.74, 3 Cl 2.83
Mn (0.5034, 0.5034, 0.5034)  3 Sb 2.74, 3 Cl 2.83
Sb (0.2500, 0.2500, 0.2500)  6 Mn 2.74

---

Q: total moment of number 9 (MnSbCl6)?
A: 4.0 Bohr magnetons per cell